No. 1
# K2TaAu PBE relaxed
data_K2TaAu
_chemical_formula_sum 'K2 Ta1 Au1'
_cell_length_a 10.6175
_cell_length_b 10.6175
_cell_length_c 10.6175
_cell_angle_alpha 163.84
_cell_angle_beta 154.60
_cell_angle_gamma 30.25
_symmetry_space_group_name_H-M 'P 1'
_symmetry_Int_Tables_number 1
loop_
_symmetry_equiv_pos_as_xyz
'x,y,z'
loop_
_atom_site_label
_atom_site_type_symbol
_atom_site_fract_x
_atom_site_fract_y
_atom_site_fract_z
K1 K 0.6024 0.6024 0.0000
K2 K 0.8976 0.8976 0.0000
Ta1 Ta 0.2500 0.7500 0.5000
Au1 Au 0.7500 0.2500 0.5000
# Polymorph energy (0 for the lowest one) = 0.13 eV per formula unit
# Magnetic moment = 0.0 μB/f.u.
# E_form = 0.558 eV per atom
# Calculated total energy = -15.1 eV per cell

No. 2
# KTa2Au PBE relaxed
data_KTa2Au
_chemical_formula_sum 'K1 Ta2 Au1'
_cell_length_a 6.5339
_cell_length_b 5.3915
_cell_length_c 2.7286
_cell_angle_alpha 87.46
_cell_angle_beta 79.02
_cell_angle_gamma 113.79
_symmetry_space_group_name_H-M 'P 1'
_symmetry_Int_Tables_number 1
loop_
_symmetry_equiv_pos_as_xyz
'x,y,z'
loop_
_atom_site_label
_atom_site_type_symbol
_atom_site_fract_x
_atom_site_fract_y
_atom_site_fract_z
K1 K 0.5000 0.0000 0.5000
Ta1 Ta 0.0000 0.5000 0.5000
Ta2 Ta 0.0000 0.0000 0.0000
Au1 Au 0.5000 0.5000 0.0000
# Polymorph energy (0 for the lowest one) = 1.95 eV per formula unit
# Magnetic moment = 0.0 μB/f.u.
# E_form = 0.866 eV per atom
# Calculated total energy = -24.6 eV per cell